Below is a geometry-optimized La6Tb2DyHo structure, with properties calculated at the GGA-PBE level.

Structure (extended XYZ):
```
20
Lattice="9.379 -2.091 -2.170 0.726 8.763 -2.063 0.726 -2.387 8.681" Properties=species:S:1:pos:R:3 pbc="T T T"
La 8.834 -0.456 1.869
La 3.911 7.040 1.079
La 1.105 -0.951 6.242
La 2.230 4.514 -1.543
La 5.795 5.227 -1.804
La 6.686 1.355 3.749
La 5.036 -0.941 6.252
La 1.996 4.742 2.578
La 4.145 2.930 0.698
La 9.726 5.237 -1.794
La 6.920 -2.754 3.369
La 8.600 -0.229 5.990
Ho 3.071 1.673 3.723
Ho 7.760 2.613 0.725
Dy 7.760 -3.691 6.799
Dy 3.071 7.977 -2.352
Tb 5.368 4.399 3.509
Tb 5.463 -0.114 0.938
Tb 0.773 1.987 1.006
Tb 10.058 2.299 3.442
```

Computed properties:
V = 35.06 A^3/atom
energy of formation = 2.49 kcal/mol of atoms
magnetization = 0.000 μB/cell



Below is a geometry-optimized RbNa2RhPb structure, with properties calculated at the GGA-PBE level.

Structure (extended XYZ):
```
5
Lattice="-1.539 3.839 -3.898 0.468 -3.942 -4.067 -4.989 -1.302 0.688" Properties=species:S:1:pos:R:3 pbc="T T T"
Na -0.770 1.920 -1.949
Na 0.234 -1.971 -2.034
Pb -2.495 -0.651 0.344
Rb -3.030 -0.703 -3.639
Rh 0.000 0.000 0.000
```

Computed properties:
V = 33.61 A^3/atom
energy of formation = 0.67 kcal/mol of atoms
magnetization = 0.000 μB/cell



Below is a geometry-optimized NdLu2Hf structure, with properties calculated at the GGA-PBE level.

Structure (extended XYZ):
```
4
Lattice="-2.124 -2.829 -1.668 3.166 -1.236 -1.936 1.695 -4.660 5.746" Properties=species:S:1:pos:R:3 pbc="T T T"
Hf 0.521 -2.032 -1.802
Lu 0.364 -1.000 1.233
Lu 1.331 -3.661 4.514
Nd 1.368 -4.363 1.071
```

Computed properties:
V = 29.03 A^3/atom
energy of formation = 4.64 kcal/mol of atoms
magnetization = 0.000 μB/cell



Below is a geometry-optimized LaSnRh2 structure, with properties calculated at the GGA-PBE level.

Structure (extended XYZ):
```
4
Lattice="3.582 0.000 0.000 0.000 4.726 0.000 0.000 0.000 4.726" Properties=species:S:1:pos:R:3 pbc="T T T"
La 1.791 2.363 2.363
Sn 1.791 0.000 0.000
Rh 0.000 0.000 2.363
Rh 0.000 2.363 0.000
```

Computed properties:
V = 20.00 A^3/atom
energy of formation = -14.12 kcal/mol of atoms
magnetization = 0.000 μB/cell